The following is a PBE-GGA calculation of crystalline LiTmNpO4 at its relaxed geometry, from the Alexandria database.

```
14
Lattice="3.0712 -4.6819 0.0000 3.0712 4.6819 0.0000 0.0000 0.0000 6.9964" Properties=species:S:1:pos:R:3 pbc="T T T"
Li 3.0712 3.1650 5.2473
Li 3.0712 -3.1650 1.7491
Tm 3.0712 3.2199 1.7491
Tm 3.0712 -3.2199 5.2473
Np 3.0712 0.0000 0.0000
Np 3.0712 0.0000 3.4982
O 1.5234 0.0429 1.7491
O 1.5234 -0.0429 5.2473
O 3.0712 2.1143 3.5680
O 3.0712 2.1143 6.9265
O 3.0712 -2.1143 0.0698
O 3.0712 -2.1143 3.4283
O 4.6189 0.0429 1.7491
O 4.6189 -0.0429 5.2473
```

* calculated total energy: -8.46 eV/atom
* ΔE_f (raw): -2.867 eV per atom
* density of states at the Fermi level: 12.2 states/eV/cell
* symmetry: Cmcm